Entry 1:
ZrSc2Os (PBE, relaxed); space group = No. 166; excess energy over the best structure of this formula in the dataset = 426 meV/atom; energy of formation = 2.85 kcal/mol of atoms
1.0
1.547 0.893 10.229
-1.547 0.893 10.229
0.000 -1.786 10.229
Zr Sc Os
1 2 1
direct
0.000 0.000 0.000
0.101 0.101 0.101
0.899 0.899 0.899
0.500 0.500 0.500

=====

Entry 2:
ZrSc2Os (PBE, relaxed); space group = No. 160; excess energy over the best structure of this formula in the dataset = 313 meV/atom; energy of formation = 0.24 kcal/mol of atoms
1.0
1.616 0.933 9.438
-1.616 0.933 9.438
0.000 -1.865 9.438
Zr Sc Os
1 2 1
direct
0.000 0.000 0.000
0.527 0.527 0.527
0.759 0.759 0.759
0.263 0.263 0.263

=====

Entry 3:
ZrSc2Os (PBE, relaxed); space group = No. 122; excess energy over the best structure of this formula in the dataset = 466 meV/atom; energy of formation = 3.76 kcal/mol of atoms
1.0
-3.979 3.979 2.811
3.979 -3.979 2.811
3.979 3.979 -2.811
Zr Sc Os
2 4 2
direct
0.000 0.000 0.000
0.750 0.250 0.500
0.190 0.625 0.065
0.375 0.440 0.565
0.560 0.125 0.935
0.875 0.810 0.435
0.250 0.750 0.500
0.500 0.500 0.000

=====

Entry 4:
ZrSc2Os (PBE, relaxed); space group = No. 123; excess energy over the best structure of this formula in the dataset = 84 meV/atom; energy of formation = -5.04 kcal/mol of atoms
1.0
3.221 0.000 0.000
0.000 3.221 0.000
0.000 0.000 7.826
Zr Sc Os
1 2 1
direct
0.000 0.000 0.000
0.500 0.500 0.302
0.500 0.500 0.698
0.000 0.000 0.500

=====

Question: Which of these has the highest excess energy over the best structure of this formula in the dataset?
Answer: number 3

=====

Question: Look up the energy of formation of the first one.
Answer: 2.85 kcal/mol of atoms

=====

Please write out number 4 again, unchanged.
ZrSc2Os (PBE, relaxed); space group = No. 123; excess energy over the best structure of this formula in the dataset = 84 meV/atom; energy of formation = -5.04 kcal/mol of atoms
1.0
3.221 0.000 0.000
0.000 3.221 0.000
0.000 0.000 7.826
Zr Sc Os
1 2 1
direct
0.000 0.000 0.000
0.500 0.500 0.302
0.500 0.500 0.698
0.000 0.000 0.500